(1)
# Sc4ZnGa2Ag (GGA-PBE, optimized geometry)
data_Sc4ZnGa2Ag
_chemical_formula_sum 'Sc12 Zn3 Ga6 Ag3'
_space_group_name_H-M_alt 'R -3 m'
_space_group_IT_number 166
_space_group_name_Hall '-R 3 2"'
_cell_length_a 4.7743
_cell_length_b 4.7743
_cell_length_c 23.4058
_cell_angle_alpha 90.00
_cell_angle_beta 90.00
_cell_angle_gamma 120.00
loop_
_atom_site_label
_atom_site_fract_x
_atom_site_fract_y
_atom_site_fract_z
Sc1 0.0000 0.0000 0.1233
Sc2 0.0000 0.0000 0.3734
Zn1 0.0000 0.0000 0.0000
Ga1 0.0000 0.0000 0.2491
Ag1 0.0000 0.0000 0.5000
# calculated volume = 19.25 A^3/atom
# D(E_F) = 0.741 states/eV/atom
# formation energy from the elements = -0.4890 eV/atom

***

(2)
# TcNi2Pt (GGA-PBE, optimized geometry)
data_TcNi2Pt
_chemical_formula_sum 'Tc1 Ni2 Pt1'
_space_group_name_H-M_alt 'P 1 2/m 1'
_space_group_IT_number 10
_cell_length_a 2.603
_cell_length_b 4.332
_cell_length_c 4.756
_cell_angle_alpha 90.00
_cell_angle_beta 92.05
_cell_angle_gamma 90.00
loop_
_space_group_symop_operation_xyz
'x,y,z'
'-x,-y,-z'
'-x,y,-z'
'x,-y,z'
loop_
_atom_site_label
_atom_site_fract_x
_atom_site_fract_y
_atom_site_fract_z
Tc1 0.000 0.000 0.000
Ni1 0.256 0.500 0.766
Pt1 0.500 0.000 0.500
# calculated volume = 13.40 A^3/atom
# D(E_F) = 1.468 states/eV/atom
# offset from the most stable computed form = 0.187 eV per atom
# formation energy from the elements = 0.1069 eV/atom

***

(3)
# Be3N2 (GGA-PBE, optimized geometry)
data_Be3N2
_chemical_formula_sum 'Be6 N4'
_space_group_name_H-M_alt 'P 63/m m c'
_space_group_IT_number 194
_space_group_name_Hall '-P 6c 2c'
_cell_length_a 2.8484
_cell_length_b 2.8484
_cell_length_c 9.7631
_cell_angle_alpha 90.00
_cell_angle_beta 90.00
_cell_angle_gamma 120.00
loop_
_atom_site_label
_atom_site_fract_x
_atom_site_fract_y
_atom_site_fract_z
Be1 0.0000 0.0000 0.2500
Be2 0.3333 0.6667 0.0783
N1 0.0000 0.0000 0.0000
N2 0.3333 0.6667 0.2500
# calculated volume = 6.86 A^3/atom
# D(E_F) = 0.000 states/eV/atom
# E_form (uncorrected) = -24.36 kcal/mol of atoms
# offset from the most stable computed form = 0.030 eV per atom

***

(4)
# RbBaLi2 (GGA-PBE, optimized geometry)
data_RbBaLi2
_chemical_formula_sum 'Rb4 Ba4 Li8'
_space_group_name_H-M_alt 'I -4 2 d'
_space_group_IT_number 122
_space_group_name_Hall 'I -4 2bw'
_cell_length_a 9.877
_cell_length_b 9.877
_cell_length_c 7.909
_cell_angle_alpha 90.00
_cell_angle_beta 90.00
_cell_angle_gamma 90.00
loop_
_atom_site_label
_atom_site_fract_x
_atom_site_fract_y
_atom_site_fract_z
Rb1 0.000 0.000 0.000
Ba1 0.000 0.000 0.500
Li1 0.241 0.250 0.125
# calculated volume = 48.22 A^3/atom
# D(E_F) = 0.879 states/eV/atom
# offset from the most stable computed form = 0.155 eV per atom
# formation energy from the elements = 0.2892 eV/atom